Computed, not measured: an optimized crystal structure of La6PdPt5 at the GGA-PBE level of DFT.

a = 5.6346 Å, b = 7.8324 Å, c = 8.0704 Å
α = 99.83°, β = 107.93°, γ = 110.25°
Closest atoms and distances in Å follow each position.
Space group P-1 (No. 2)
Unique sites:
La (0.1000, 0.2701, 0.2849) (multiplicity 2)  1 Pd 2.97, 6 Pt 3.02-3.21
La (0.2998, 0.4466, 0.7685) (multiplicity 2)  5 Pt 2.95-3.23, 1 Pd 3.29
La (0.3855, 0.9120, 0.2300) (multiplicity 2)  6 Pt 3.00-3.21, 1 Pd 3.23
Pd (0.0000, 0.0000, 0.5000) (multiplicity 1)  6 La 2.97-3.29, 2 Pt 3.32
Pt (0.0000, 0.5000, 0.0000) (multiplicity 1)  6 La 2.95-3.19
Pt (0.2259, 0.1429, 0.9535) (multiplicity 2)  7 La 3.00-3.23, 1 Pt 3.14, 1 Pd 3.32
Pt (0.2906, 0.6888, 0.5080) (multiplicity 2)  7 La 3.00-3.21

Calculated values
Energy of formation = -1.039 eV per atom
Total moment = 0.00 μB/f.u.
Final energy = -0.2371 hartree per atom
Crystal system = triclinic

---

Computed, not measured: an optimized crystal structure of MnNb2B2 at the GGA-PBE level of DFT.

a = 3.2613 Å, b = 4.8049 Å, c = 7.3191 Å
α = 90.00°, β = 90.00°, γ = 90.00°
Closest atoms and distances in Å follow each position.
Space group Immm (No. 71)
Unique sites:
Mn (0.0000, 0.0000, 0.0000) (multiplicity 2)  4 B 2.20
Nb (0.0000, 0.5000, 0.2115) (multiplicity 4)  6 B 2.43-2.58, 2 Mn 2.67
B (0.0000, 0.1927, 0.5000) (multiplicity 4)  1 B 1.85

Calculated values
Energy of formation = -0.600 eV per atom
Total moment = 1.11 μB/f.u.
Final energy = -0.3356 hartree per atom
Crystal system = orthorhombic

---

Computed, not measured: an optimized crystal structure of InTc2Cl at the GGA-PBE level of DFT.

a = 4.2189 Å, b = 4.2189 Å, c = 7.6542 Å
α = 90.00°, β = 90.00°, γ = 90.00°
Closest atoms and distances in Å follow each position.
Space group I-4m2 (No. 119)
Unique sites:
In (0.0000, 0.0000, 0.0000) (multiplicity 2)  4 Cl 2.85, 8 Tc 2.85-2.98
Tc (0.0000, 0.0000, 0.5000) (multiplicity 2)  4 Tc 2.85, 4 Cl 2.85, 4 In 2.98
Tc (0.0000, 0.5000, 0.7500) (multiplicity 2)  4 Tc 2.85, 4 In 2.85, 4 Cl 2.98
Cl (0.0000, 0.5000, 0.2500) (multiplicity 2)  4 In 2.85, 8 Tc 2.85-2.98

Calculated values
E_form (uncorrected) = 0.84 eV/atom
Total moment = 0.00 μB/f.u.
Final energy = -0.2017 hartree per atom
Crystal system = tetragonal